# 1
A plane-wave DFT calculation with PBE-GGA was carried out for a relaxed structure of CsTePH.

Cell: 5.9857 4.2369 5.9941 Å, 90.00 112.11 90.00°
Space group Pm (No. 6)
Unique sites:
Cs1 0.0000 0.0000 0.0000 x1
Te1 0.6057 0.5000 0.3885 x1
P1 0.4814 0.5000 0.9598 x1
H1 0.3391 0.5000 0.4391 x1

## Properties
- Spin magnetization: 0.000 μB/atom
- Relative energy among the computed polymorphs: 0.377 eV/atom


# 2
A plane-wave DFT calculation with PBE-GGA was carried out for a relaxed structure of Cs2ZnPH.

Cell: 7.6022 4.1519 10.4950 Å, 90.00 110.25 90.00°
Space group P2_1/m (No. 11)
Unique sites:
Cs1 0.1915 0.2500 0.4103 x2
Cs2 0.2182 0.2500 0.9451 x2
Zn1 0.4673 0.7500 0.2461 x2
P1 0.3750 0.7500 0.7180 x2
H1 0.2251 0.7500 0.1831 x2

## Properties
- Spin magnetization: 0.000 μB/atom
- Uncorrected energy: -0.0977 Ha/atom